# 1
The following is a PBE calculation of a relaxed structure of MgMnSi, from Alexandria via LeMat-Bulk.

extended XYZ file:
```
3
Lattice="4.157 0.000 0.000 -2.079 3.600 0.000 0.000 0.000 2.954" Properties=species:S:1:pos:R:3 pbc="T T T"
Mg 0.000 0.000 0.000
Mn 2.079 1.200 1.477
Si 0.000 2.400 1.477
```

Results
ρ ... 4.03 g cm⁻³
Uncorrected formation energy ... 0.9 kcal/mol of atoms
DOS(E_F) ... 0.75 states/eV per atom
Size of the total moment ... 1.88 μB/f.u.
Space-group type ... No. 187

# 2
The following is a PBE calculation of a relaxed structure of MgMnSi, from Alexandria via LeMat-Bulk.

extended XYZ file:
```
3
Lattice="-1.532 3.944 -0.630 -3.744 1.141 1.725 -0.100 2.798 3.234" Properties=species:S:1:pos:R:3 pbc="T T T"
Mg 0.000 0.000 0.000
Mn -2.688 3.941 2.165
Si -1.344 1.971 1.082
```

Results
ρ ... 3.22 g cm⁻³
Uncorrected formation energy ... 2.7 kcal/mol of atoms
DOS(E_F) ... 0.73 states/eV per atom
Size of the total moment ... 3.89 μB/f.u.
Space-group type ... No. 216

# 3
The following is a PBE calculation of a relaxed structure of MgMnSi, from Alexandria via LeMat-Bulk.

extended XYZ file:
```
3
Lattice="-0.673 -2.095 -1.826 -0.073 -0.481 2.817 -6.191 1.854 0.156" Properties=species:S:1:pos:R:3 pbc="T T T"
Mg -0.031 0.009 0.001
Mn -2.675 -0.897 -0.223
Si -4.231 0.167 1.370
```

Results
ρ ... 3.89 g cm⁻³
Uncorrected formation energy ... 3.3 kcal/mol of atoms
DOS(E_F) ... 0.70 states/eV per atom
Size of the total moment ... 2.56 μB/f.u.
Space-group type ... No. 156

# 4
The following is a PBE calculation of a relaxed structure of Mg3MnSi, from Alexandria via LeMat-Bulk.

extended XYZ file:
```
5
Lattice="-4.201 2.275 -1.449 -1.465 0.328 4.762 2.265 4.432 0.391" Properties=species:S:1:pos:R:3 pbc="T T T"
Si 0.000 0.000 0.000
Mn -1.700 3.518 1.852
Mg -0.732 0.164 2.381
Mg 1.133 2.216 0.196
Mg -2.101 1.138 -0.725
```

Results
ρ ... 2.08 g cm⁻³
E above lowest polymorph ... 0.0 kJ per mole of atoms
Uncorrected formation energy ... 13.0 kcal/mol of atoms
DOS(E_F) ... 0.74 states/eV per atom
Size of the total moment ... 3.98 μB/f.u.
Space-group type ... No. 221

# 5
The following is a PBE calculation of a relaxed structure of MgMnSi, from Alexandria via LeMat-Bulk.

extended XYZ file:
```
3
Lattice="5.109 -0.478 0.000 3.680 3.576 0.000 -4.395 -1.549 2.150" Properties=species:S:1:pos:R:3 pbc="T T T"
Mg 8.752 3.085 0.000
Mn 2.661 0.938 0.000
Si 6.165 2.173 0.000
```

Results
ρ ... 4.14 g cm⁻³
Uncorrected formation energy ... -1.4 kcal/mol of atoms
DOS(E_F) ... 0.33 states/eV per atom
Size of the total moment ... 0.96 μB/f.u.
Space-group type ... No. 107

# 6
The following is a PBE calculation of a relaxed structure of MgMn4Si, from Alexandria via LeMat-Bulk.

extended XYZ file:
```
6
Lattice="0.000 3.325 3.325 3.325 0.000 3.325 3.325 3.325 0.000" Properties=species:S:1:pos:R:3 pbc="T T T"
Mg 0.000 0.000 0.000
Mn 2.498 4.152 4.152
Mn 4.152 4.152 2.498
Mn 4.152 2.498 4.152
Mn 2.498 2.498 2.498
Si 4.988 4.988 4.988
```

Results
ρ ... 6.15 g cm⁻³
Uncorrected formation energy ... 4.2 kcal/mol of atoms
DOS(E_F) ... 0.96 states/eV per atom
Size of the total moment ... 0.00 μB/f.u.
Space-group type ... No. 216

# 7
The following is a PBE calculation of a relaxed structure of MgMnSi2Te, from Alexandria via LeMat-Bulk.

extended XYZ file:
```
5
Lattice="5.223 0.000 0.000 0.000 5.145 0.000 0.000 0.000 5.223" Properties=species:S:1:pos:R:3 pbc="T T T"
Si 0.000 0.000 2.612
Si 2.612 0.000 0.000
Te 0.000 0.000 0.000
Mg 0.000 2.572 0.000
Mn 2.612 2.572 2.612
```

Results
ρ ... 3.11 g cm⁻³
Uncorrected formation energy ... 41.9 kcal/mol of atoms
DOS(E_F) ... 1.51 states/eV per atom
Size of the total moment ... 0.60 μB/f.u.
Space-group type ... No. 123

# 8
The following is a PBE calculation of a relaxed structure of YMgMn2Si, from Alexandria via LeMat-Bulk.

extended XYZ file:
```
5
Lattice="-2.639 -0.249 -3.815 0.824 -5.218 -0.229 -3.754 -0.709 2.644" Properties=species:S:1:pos:R:3 pbc="T T T"
Y 0.412 -2.609 -0.115
Si 0.000 0.000 0.000
Mn -1.877 -0.354 1.322
Mn -1.320 -0.125 -1.908
Mg -2.785 -3.088 -0.700
```

Results
ρ ... 3.65 g cm⁻³
Uncorrected formation energy ... 7.7 kcal/mol of atoms
DOS(E_F) ... 0.82 states/eV per atom
Size of the total moment ... 6.41 μB/f.u.
Space-group type ... No. 123